1.
CrSeSN2: relaxed, PBE.

## Properties
* polymorph energy (0 for the lowest one): 0 meV/atom
* raw total energy: -30.65 eV for the cell shown
* E_form (uncorrected): 0.65 eV/atom
* spin magnetization: 0.0 μB/f.u.

Cell: 3.608 3.608 5.577 Å, 90.00 90.00 90.00°
Space group P4/mmm (No. 123)
Asymmetric unit:
Cr 0.000 0.000 0.000 [1 per cell]
Se 0.000 0.000 0.500 [1 per cell]
S 0.500 0.500 0.500 [1 per cell]
N 0.000 0.500 0.000 [2 per cell]

***

2.
CsRb4Pu3O12: relaxed, PBE.

## Properties
* raw total energy: -304.83 eV for the cell shown
* E_form (uncorrected): -2.26 eV/atom
* spin magnetization: 5.0 μB/f.u.

Cell: 9.012 9.012 9.012 Å, 90.00 90.00 90.00°
Space group Im-3m (No. 229)
Asymmetric unit:
Cs 0.000 0.000 0.000 [2 per cell]
Rb 0.250 0.250 0.250 [8 per cell]
Pu 0.000 0.000 0.500 [6 per cell]
O 0.000 0.000 0.296 [12 per cell]
O 0.000 0.250 0.500 [12 per cell]